Compound: HoMgSc2In2
Source: the Open Quantum Materials Database
Functional: GGA-PBE
Structure: relaxed

Output
Symmetry: P-3m1
V (A^3/atom): 23.69
E (eV per atom): -4.41
M_tot (μB per cell): 0.00

Unit cell a=5.091 b=5.091 c=6.333 alpha=90.00 beta=90.00 gamma=120.00
Element x y z (fractional)
Ho1 0.000 0.000 0.000
Mg1 0.000 0.000 0.500
Sc1 0.333 0.667 0.688
Sc2 0.667 0.333 0.312
In1 0.333 0.667 0.207
In2 0.667 0.333 0.793



Compound: Tl2InCuCl6
Source: the Open Quantum Materials Database
Functional: GGA-PBE
Structure: relaxed

Output
Symmetry: R-3
V (A^3/atom): 25.64
E (eV per atom): -3.13
Distance to the lowest polymorph of the same formula (meV/atom): 9

Unit cell a=7.131 b=7.131 c=7.131 alpha=60.00 beta=60.00 gamma=60.00
Element x y z (fractional)
Tl1 0.250 0.250 0.250
Tl2 0.750 0.750 0.750
In1 0.000 0.000 0.000
Cu1 0.500 0.500 0.500
Cl1 0.253 0.255 0.746
Cl2 0.254 0.747 0.745
Cl3 0.255 0.746 0.253
Cl4 0.745 0.254 0.747
Cl5 0.746 0.253 0.255
Cl6 0.747 0.745 0.254



Compound: SmScAg4
Source: the Open Quantum Materials Database
Functional: GGA-PBE
Structure: relaxed

Output
Symmetry: P4/mmm
Energy of formation (eV per atom): -0.282
V (A^3/atom): 20.72
E (eV per atom): -4.00
M_tot (μB per cell): 0.00

Unit cell a=3.667 b=3.667 c=9.246 alpha=90.00 beta=90.00 gamma=90.00
Element x y z (fractional)
Sm1 0.000 0.000 0.000
Sc1 0.500 0.500 0.500
Ag1 0.000 0.000 0.342
Ag2 0.000 0.000 0.658
Ag3 0.500 0.500 0.185
Ag4 0.500 0.500 0.815



Compound: MgFeSnOs
Source: the Open Quantum Materials Database
Functional: GGA-PBE
Structure: relaxed

Output
Symmetry: F-43m
V (A^3/atom): 15.49
E (eV per atom): -6.03
Distance to the lowest polymorph of the same formula (meV/atom): 0
M_tot (μB per cell): 1.52

Unit cell a=4.441 b=4.441 c=4.441 alpha=60.00 beta=60.00 gamma=60.00
Element x y z (fractional)
Mg1 0.000 0.000 0.000
Fe1 0.750 0.750 0.750
Sn1 0.500 0.500 0.500
Os1 0.250 0.250 0.250



Compound: GdHo2Cd4In2
Source: the Open Quantum Materials Database
Functional: GGA-PBE
Structure: relaxed

Output
Symmetry: Amm2
V (A^3/atom): 24.84
E (eV per atom): -2.93
M_tot (μB per cell): 0.00

Unit cell a=4.612 b=7.492 c=7.492 alpha=120.30 beta=90.00 gamma=90.00
Element x y z (fractional)
Gd1 0.000 0.000 0.000
Ho1 0.000 0.427 0.854
Ho2 0.000 0.854 0.427
Cd1 0.000 0.430 0.430
Cd2 0.500 0.185 0.427
Cd3 0.500 0.427 0.185
Cd4 0.500 0.670 0.670
In1 0.500 0.095 0.759
In2 0.500 0.759 0.095



Compound: YTlFeOs
Source: the Open Quantum Materials Database
Functional: GGA-PBE
Structure: relaxed

Output
Symmetry: F-43m
V (A^3/atom): 18.80
E (eV per atom): -6.64
Distance to the lowest polymorph of the same formula (meV/atom): 0
M_tot (μB per cell): 2.39

Unit cell a=4.738 b=4.738 c=4.738 alpha=60.00 beta=60.00 gamma=60.00
Element x y z (fractional)
Y1 0.000 0.000 0.000
Tl1 0.500 0.500 0.500
Fe1 0.750 0.750 0.750
Os1 0.250 0.250 0.250



Compound: Na6MgCd
Source: the Open Quantum Materials Database
Functional: GGA-PBE
Structure: relaxed

Output
Symmetry: P4/mmm
V (A^3/atom): 28.90
E (eV per atom): -1.26

Unit cell a=5.470 b=5.470 c=7.726 alpha=90.00 beta=90.00 gamma=90.00
Element x y z (fractional)
Na1 0.000 0.000 0.000
Na2 0.000 0.500 0.248
Na3 0.000 0.500 0.752
Na4 0.500 0.000 0.248
Na5 0.500 0.000 0.752
Na6 0.500 0.500 0.500
Mg1 0.000 0.000 0.500
Cd1 0.500 0.500 0.000



Compound: LiYPdPb
Source: the Open Quantum Materials Database
Functional: GGA-PBE
Structure: relaxed

Output
Symmetry: F-43m
V (A^3/atom): 20.64
E (eV per atom): -4.78
Distance to the lowest polymorph of the same formula (meV/atom): 186
M_tot (μB per cell): 0.00

Unit cell a=4.887 b=4.887 c=4.887 alpha=60.00 beta=60.00 gamma=60.00
Element x y z (fractional)
Li1 0.000 0.000 0.000
Y1 0.750 0.750 0.750
Pd1 0.250 0.250 0.250
Pb1 0.500 0.500 0.500



Question: What is the formula in the seventh record?
Answer: Na6MgCd